Entry 1:
A plane-wave DFT calculation with PBE-GGA was carried out for crystalline CsSrIr at its relaxed geometry.

Unit cell a=7.488 b=7.488 c=7.488 alpha=90.00 beta=90.00 gamma=90.00
Fractional coordinates of all 12 atoms:
1 Cs 0.000 0.000 0.000
2 Cs 0.000 0.500 0.500
3 Cs 0.500 0.000 0.500
4 Cs 0.500 0.500 0.000
5 Sr 0.000 0.000 0.500
6 Sr 0.000 0.500 0.000
7 Sr 0.500 0.000 0.000
8 Sr 0.500 0.500 0.500
9 Ir 0.250 0.250 0.250
10 Ir 0.250 0.750 0.750
11 Ir 0.750 0.250 0.750
12 Ir 0.750 0.750 0.250

Its density is 6.530 g/cm3. As for the space group: F-43m (216). As for the electronic total energy: -40.17 eV/cell. The volume is 34.98 Å³/atom.


Entry 2:
A plane-wave DFT calculation with PBE-GGA was carried out for crystalline HfPPdO at its relaxed geometry.

Unit cell a=3.646 b=6.171 c=5.406 alpha=90.00 beta=90.00 gamma=90.00
Fractional coordinates of all 8 atoms:
1 Hf 0.000 0.185 0.000
2 Hf 0.000 0.815 0.500
3 P 0.000 0.316 0.491
4 P 0.000 0.684 0.991
5 Pd 0.500 0.485 0.728
6 Pd 0.500 0.515 0.228
7 O 0.500 0.077 0.066
8 O 0.500 0.923 0.566

The value obtained for the distance to the lowest polymorph of the same formula is 16.1 kJ per mole of atoms. Its density is 9.063 g/cm3. As for the space group: Pmc2_1 (26). The volume is 15.20 Å³/atom.


Entry 3:
A plane-wave DFT calculation with PBE-GGA was carried out for crystalline Tl2Ir at its relaxed geometry.

Unit cell a=5.869 b=5.869 c=5.869 alpha=60.00 beta=60.00 gamma=60.00
Fractional coordinates of all 6 atoms:
1 Tl 0.000 0.000 0.000
2 Tl 0.000 0.000 0.500
3 Tl 0.000 0.500 0.000
4 Tl 0.500 0.000 0.000
5 Ir 0.375 0.375 0.375
6 Ir 0.625 0.625 0.625

Its density is 13.961 g/cm3. As for the space group: Fd-3m (227). As for the electronic total energy: -18.78 eV/cell. The volume is 23.83 Å³/atom.


Entry 4:
A plane-wave DFT calculation with PBE-GGA was carried out for crystalline ZnCu2SiSe4 at its relaxed geometry.

Unit cell a=7.829 b=6.821 c=6.500 alpha=90.00 beta=90.00 gamma=90.00
Fractional coordinates of all 16 atoms:
1 Zn 0.000 0.151 0.000
2 Zn 0.500 0.849 0.500
3 Cu 0.247 0.326 0.492
4 Cu 0.253 0.674 0.992
5 Cu 0.747 0.674 0.992
6 Cu 0.753 0.326 0.492
7 Si 0.000 0.830 0.501
8 Si 0.500 0.170 0.001
9 Se 0.000 0.151 0.617
10 Se 0.000 0.817 0.143
11 Se 0.240 0.663 0.621
12 Se 0.260 0.337 0.121
13 Se 0.500 0.183 0.643
14 Se 0.500 0.849 0.117
15 Se 0.740 0.337 0.121
16 Se 0.760 0.663 0.621

Its density is 5.132 g/cm3. As for the space group: Pmn2_1 (31). As for the electronic total energy: -62.61 eV/cell. The volume is 21.69 Å³/atom.


Entry 5:
A plane-wave DFT calculation with PBE-GGA was carried out for crystalline LaGd2PdPt2Pb3 at its relaxed geometry.

Unit cell a=4.071 b=7.867 c=7.867 alpha=120.32 beta=90.00 gamma=90.00
Fractional coordinates of all 9 atoms:
1 La 0.000 0.000 0.000
2 Gd 0.000 0.410 0.819
3 Gd 0.000 0.819 0.410
4 Pd 0.000 0.416 0.416
5 Pt 0.500 0.080 0.741
6 Pt 0.500 0.741 0.080
7 Pb 0.500 0.155 0.414
8 Pb 0.500 0.414 0.155
9 Pb 0.500 0.666 0.666

Its density is 12.000 g/cm3. As for the space group: Amm2 (38). As for the electronic total energy: -50.16 eV/cell. The volume is 24.16 Å³/atom.


Entry 6:
A plane-wave DFT calculation with PBE-GGA was carried out for crystalline Hf2TcAu at its relaxed geometry.

Unit cell a=3.330 b=3.330 c=6.646 alpha=90.00 beta=90.00 gamma=90.00
Fractional coordinates of all 4 atoms:
1 Hf 0.000 0.000 0.233
2 Hf 0.000 0.000 0.767
3 Tc 0.500 0.500 0.000
4 Au 0.500 0.500 0.500

Its density is 14.687 g/cm3. As for the space group: P4/mmm (123). The volume is 18.43 Å³/atom. The value obtained for the formation energy is -54.1 kJ per mole of atoms.


Entry 7:
A plane-wave DFT calculation with PBE-GGA was carried out for crystalline Lu4Tl2CN at its relaxed geometry.

Unit cell a=3.490 b=3.490 c=15.531 alpha=90.00 beta=90.00 gamma=120.00
Fractional coordinates of all 8 atoms:
1 Lu 0.333 0.667 0.084
2 Lu 0.333 0.667 0.417
3 Lu 0.667 0.333 0.583
4 Lu 0.667 0.333 0.916
5 Tl 0.333 0.667 0.748
6 Tl 0.667 0.333 0.252
7 C 0.000 0.000 0.000
8 N 0.000 0.000 0.500

Its density is 11.499 g/cm3. As for the space group: P-3m1 (164). As for the electronic total energy: -46.34 eV/cell. The volume is 20.48 Å³/atom.


Entry 8:
A plane-wave DFT calculation with PBE-GGA was carried out for crystalline TcAgNO at its relaxed geometry.

Unit cell a=3.859 b=3.859 c=6.611 alpha=90.00 beta=90.00 gamma=90.00
Fractional coordinates of all 8 atoms:
1 Tc 0.250 0.750 0.000
2 Tc 0.750 0.250 0.000
3 Ag 0.250 0.250 0.347
4 Ag 0.750 0.750 0.653
5 N 0.250 0.250 0.891
6 N 0.750 0.750 0.109
7 O 0.250 0.750 0.500
8 O 0.750 0.250 0.500

The value obtained for the distance to the lowest polymorph of the same formula is 50.1 kJ per mole of atoms. Its density is 7.958 g/cm3. As for the space group: P4/nmm (129). The volume is 12.31 Å³/atom.


Entry 9:
A plane-wave DFT calculation with PBE-GGA was carried out for crystalline WN at its relaxed geometry.

Unit cell a=4.664 b=4.664 c=4.664 alpha=90.00 beta=90.00 gamma=90.00
Fractional coordinates of all 8 atoms:
1 W 0.000 0.000 0.000
2 W 0.000 0.500 0.500
3 W 0.500 0.000 0.500
4 W 0.500 0.500 0.000
5 N 0.250 0.250 0.750
6 N 0.250 0.750 0.250
7 N 0.750 0.250 0.250
8 N 0.750 0.750 0.750

Its density is 12.956 g/cm3. As for the space group: F-43m (216). As for the electronic total energy: -83.56 eV/cell. The volume is 12.68 Å³/atom.


Entry 10:
A plane-wave DFT calculation with PBE-GGA was carried out for crystalline AcAl2Ir2 at its relaxed geometry.

Unit cell a=4.145 b=4.145 c=11.627 alpha=90.00 beta=90.00 gamma=90.00
Fractional coordinates of all 10 atoms:
1 Ac 0.000 0.000 0.000
2 Ac 0.500 0.500 0.500
3 Al 0.000 0.500 0.250
4 Al 0.000 0.500 0.750
5 Al 0.500 0.000 0.250
6 Al 0.500 0.000 0.750
7 Ir 0.000 0.000 0.378
8 Ir 0.000 0.000 0.622
9 Ir 0.500 0.500 0.122
10 Ir 0.500 0.500 0.878

Its density is 11.061 g/cm3. As for the space group: I4/mmm (139). As for the electronic total energy: -66.91 eV/cell. The volume is 19.98 Å³/atom.


Entry 11:
A plane-wave DFT calculation with PBE-GGA was carried out for crystalline PmScPO at its relaxed geometry.

Unit cell a=4.193 b=4.193 c=8.693 alpha=90.00 beta=90.00 gamma=90.00
Fractional coordinates of all 8 atoms:
1 Pm 0.250 0.250 0.123
2 Pm 0.750 0.750 0.877
3 Sc 0.250 0.750 0.500
4 Sc 0.750 0.250 0.500
5 P 0.250 0.250 0.676
6 P 0.750 0.750 0.324
7 O 0.250 0.750 0.000
8 O 0.750 0.250 0.000

The value obtained for the distance to the lowest polymorph of the same formula is 2.4 kJ per mole of atoms. Its density is 5.148 g/cm3. As for the space group: P4/nmm (129). The volume is 19.11 Å³/atom.


Entry 12:
A plane-wave DFT calculation with PBE-GGA was carried out for crystalline CsEr6CF12 at its relaxed geometry.

Unit cell a=7.175 b=7.175 c=7.175 alpha=67.99 beta=67.99 gamma=67.99
Fractional coordinates of all 20 atoms:
1 Cs 0.000 0.000 0.000
2 Er 0.153 0.495 0.629
3 Er 0.371 0.847 0.505
4 Er 0.495 0.629 0.153
5 Er 0.505 0.371 0.847
6 Er 0.629 0.153 0.495
7 Er 0.847 0.505 0.371
8 C 0.500 0.500 0.500
9 F 0.051 0.817 0.643
10 F 0.165 0.581 0.275
11 F 0.183 0.357 0.949
12 F 0.275 0.165 0.581
13 F 0.357 0.949 0.183
14 F 0.419 0.725 0.835
15 F 0.581 0.275 0.165
16 F 0.643 0.051 0.817
17 F 0.725 0.835 0.419
18 F 0.817 0.643 0.051
19 F 0.835 0.419 0.725
20 F 0.949 0.183 0.357

Its density is 7.482 g/cm3. As for the space group: R-3 (148). As for the electronic total energy: -123.05 eV/cell. The volume is 15.27 Å³/atom.